Computed, not measured: a relaxed Ca2PuTaP4 crystal at the PBE level of DFT.

Summary:
Symmetry ... No. 10
E ... -59.8 eV/cell
Size of the total moment ... 4.7 μB per formula unit

```
Ca2PuTaP4
1.0
6.7006 0.0000 0.0000
0.0000 3.8603 0.0000
-2.1751 0.0000 6.5912
Ca Pu Ta P
2 1 1 4
direct
0.0000 0.0000 0.0000
0.5000 0.5000 0.0000
0.0000 0.5000 0.5000
0.5000 0.0000 0.5000
0.2592 0.0000 0.7237
0.2747 0.5000 0.2820
0.7253 0.5000 0.7180
0.7408 0.0000 0.2763
```